[1]
SrLi2Cd: relaxed, GGA-PBE.

Cell lengths 4.8815, 4.8815, 6.2500 Å; angles 67.03, 67.03, 59.92 degrees
Fractional coordinates of all 4 atoms:
Sr  0.5036  0.5036  0.4892
Li  0.9948  0.9948  0.0155
Cd  0.3008  0.3008  0.0981
Li  0.7007  0.7007  0.8972



[2]
SrLi10Cd3: relaxed, GGA-PBE.

Cell lengths 9.8855, 9.8855, 9.8855 Å; angles 60.00, 60.00, 60.00 degrees
Fractional coordinates of all 28 atoms:
Li  0.8306  0.3898  0.3898
Li  0.6509  0.0000  0.3491
Cd  0.2673  0.7327  0.2673
Li  0.0000  0.3491  0.6509
Li  0.3491  0.6509  0.0000
Li  0.3491  0.0000  0.0000
Sr  0.2500  0.2500  0.2500
Sr  0.7500  0.7500  0.7500
Cd  0.7327  0.2673  0.2673
Cd  0.7327  0.2673  0.7327
Cd  0.2673  0.7327  0.7327
Cd  0.7327  0.7327  0.2673
Li  0.0000  0.0000  0.6509
Li  0.3898  0.3898  0.8306
Li  0.3898  0.8306  0.3898
Li  0.6509  0.0000  0.0000
Li  0.6102  0.6102  0.1694
Li  0.6102  0.6102  0.6102
Cd  0.2673  0.2673  0.7327
Li  0.1694  0.6102  0.6102
Li  0.0000  0.0000  0.3491
Li  0.0000  0.6509  0.0000
Li  0.0000  0.6509  0.3491
Li  0.3491  0.0000  0.6509
Li  0.3898  0.3898  0.3898
Li  0.6509  0.3491  0.0000
Li  0.0000  0.3491  0.0000
Li  0.6102  0.1694  0.6102



[3]
Sr2LiCd: relaxed, GGA-PBE.

Cell lengths 5.0704, 4.5919, 6.6970 Å; angles 69.94, 90.00, 90.00 degrees
Fractional coordinates of all 4 atoms:
Sr  0.5000  0.2692  0.3370
Sr  0.0000  0.9777  0.9193
Li  0.5000  0.5638  0.7467
Cd  0.0000  0.6893  0.4969



Result set for E_form: -0.56, -0.35, -0.67 eV/f.u., one per record in the order listed.